Record 1
First-principles (PBE) data for an optimized crystal structure of Te4W3Se2, as listed in Alexandria via LeMat-Bulk.

The space group is P3m1 (No. 156) and the conventional cell measures 3.4737, 3.4737 and 22.8700 Å, with angles of 90.00, 90.00 and 120.00 degrees. The asymmetric unit holds Te at (0.0000, 0.0000, 0.0000), Te at (0.0000, 0.0000, 0.1619), Te at (0.3333, 0.6667, 0.3295), Te at (0.3333, 0.6667, 0.4914), W at (0.0000, 0.0000, 0.4105), W at (0.0000, 0.0000, 0.7630), W at (0.3333, 0.6667, 0.0809), Se at (0.3333, 0.6667, 0.6917) and Se at (0.3333, 0.6667, 0.8342).



Record 2
First-principles (PBE) data for an optimized crystal structure of Te2WSe, as listed in Alexandria via LeMat-Bulk.

The space group is P4/mmm (No. 123) and the conventional cell measures 3.208, 3.208 and 9.371 Å, with angles of 90.00, 90.00 and 90.00 degrees. The asymmetric unit holds Te at (0.000, 0.000, 0.186), W at (0.500, 0.500, 0.000) and Se at (0.500, 0.500, 0.500).



Record 3
First-principles (PBE) data for an optimized crystal structure of Te2WSe, as listed in Alexandria via LeMat-Bulk.

The space group is P2/m (No. 10) and the conventional cell measures 2.849, 3.585 and 9.899 Å, with angles of 90.00, 90.00 and 90.00 degrees. The asymmetric unit holds Te at (0.002, 0.000, 0.288), W at (0.000, 0.500, 0.500) and Se at (0.000, 0.500, 0.000).



Record 4
First-principles (PBE) data for an optimized crystal structure of TeW2Se, as listed in Alexandria via LeMat-Bulk.

The space group is I-42d (No. 122) and the conventional cell measures 4.540, 4.540 and 16.500 Å, with angles of 90.00, 90.00 and 90.00 degrees. The asymmetric unit holds Te at (0.000, 0.000, 0.000), W at (0.182, 0.250, 0.625) and Se at (0.000, 0.000, 0.500).

The offset from the most stable computed form is 644 meV/atom.



Record 5
First-principles (PBE) data for an optimized crystal structure of Te2WSe, as listed in Alexandria via LeMat-Bulk.

The space group is Cmmm (No. 65) and the conventional cell measures 3.396, 5.165 and 10.655 Å, with angles of 90.00, 90.00 and 90.00 degrees. The asymmetric unit holds Te at (0.000, 0.000, 0.209), W at (0.000, 0.500, 0.000) and Se at (0.000, 0.500, 0.500).



Record 6
First-principles (PBE) data for an optimized crystal structure of Te2WSe, as listed in Alexandria via LeMat-Bulk.

The space group is Cmmm (No. 65) and the conventional cell measures 7.168, 7.234 and 3.280 Å, with angles of 90.00, 90.00 and 90.00 degrees. The asymmetric unit holds Te at (0.250, 0.250, 0.000), W at (0.000, 0.000, 0.500) and Se at (0.000, 0.500, 0.500).



| no. | formation energy without anion corrections (eV per atom) | total energy (Ha/atom) |
| --- | --- | --- |
| 1 | -0.22 | -0.246 |
| 2 | 0.34 | -0.196 |
| 3 | 0.51 | -0.190 |
| 4 | 0.74 | -0.272 |
| 5 | 0.60 | -0.187 |
| 6 | 0.93 | -0.175 |